(1)
This record from Alexandria via LeMat-Bulk describes an optimized crystal structure of SmHoErTl. The functional is GGA-PBE.

Space-group type   Pmmm (47)

a b c (Å): 4.8286 4.8760 4.8855
angles (deg): 90.00 90.00 90.00
With the nearest neighbours (Å) after each atom.
Element x y z (fractional)
Sm 0.0000 0.0000 0.0000  4 Ho 3.43, 4 Er 3.43, 4 Tl 3.45
Ho 0.5000 0.5000 0.0000  4 Sm 3.43, 4 Tl 3.43, 4 Er 3.45
Er 0.5000 0.0000 0.5000  4 Tl 3.43, 4 Sm 3.43, 4 Ho 3.45
Tl 0.0000 0.5000 0.5000  4 Er 3.43, 4 Ho 3.43, 4 Sm 3.45

(2)
This record from Alexandria via LeMat-Bulk describes an optimized crystal structure of SmHoErTl. The functional is GGA-PBE.

Space-group type   F-43m (216)

a b c (Å): 5.4804 5.4804 5.4804
angles (deg): 60.00 60.00 60.00
With the nearest neighbours (Å) after each atom.
Element x y z (fractional)
Sm 0.0000 0.0000 0.0000  4 Ho 3.36, 4 Tl 3.36
Ho 0.7500 0.7500 0.7500  4 Sm 3.36, 4 Er 3.36
Er 0.5000 0.5000 0.5000  4 Tl 3.36, 4 Ho 3.36
Tl 0.2500 0.2500 0.2500  4 Er 3.36, 4 Sm 3.36

(1) takes first place; second place is 147 meV/atom up.